# 1
Material: KSb2Mo
Method: DFT, PBE
State: optimized geometry

The structure belongs to space group Cmmm (No. 65); the cell edges are 6.693, 9.125 and 3.304 Å and the angles 90.00°, 90.00° and 90.00°. The inequivalent atoms are K at (0.000, 0.000, 0.000), Sb at (0.250, 0.250, 0.500) and Mo at (0.000, 0.500, 0.000).

As for the energy above the most stable polymorph in this dataset: 0.6908 eV per atom. For the formation energy from raw total energies, the calculation gives 0.606 eV/atom.

# 2
Material: FeCo2Se
Method: DFT, PBE
State: optimized geometry

The structure belongs to space group R3m (No. 160, hexagonal axes); the cell edges are 2.8163, 2.8163 and 22.6605 Å and the angles 90.00°, 90.00° and 120.00°. The inequivalent atoms are Fe at (0.0000, 0.0000, 0.0000), Co at (0.0000, 0.0000, 0.2526), Co at (0.0000, 0.0000, 0.5037) and Se at (0.0000, 0.0000, 0.7531).

For the formation energy from raw total energies, the calculation gives 0.327 eV/atom.

# 3
Material: Dy8Y2Er
Method: DFT, PBE
State: optimized geometry

The structure belongs to space group C2/m (No. 12); the cell edges are 18.917, 6.912 and 5.572 Å and the angles 90.00°, 93.09° and 90.00°. The inequivalent atoms are Dy at (0.046, 0.000, 0.235), Dy at (0.131, 0.235, 0.732), Dy at (0.186, 0.500, 0.231), Y at (0.216, 0.000, 0.253) and Er at (0.000, 0.500, 0.000).

The value obtained for the formation enthalpy at 0 K is 169.8 meV/atom.

# 4
Material: ThSc2Te
Method: DFT, PBE
State: optimized geometry

The structure belongs to space group R3m (No. 160, hexagonal axes); the cell edges are 3.6850, 3.6850 and 28.1781 Å and the angles 90.00°, 90.00° and 120.00°. The inequivalent atoms are Th at (0.0000, 0.0000, 0.0000), Sc at (0.0000, 0.0000, 0.2371), Sc at (0.0000, 0.0000, 0.4297) and Te at (0.0000, 0.0000, 0.8335).

As for the energy above the most stable polymorph in this dataset: 0.1361 eV per atom. For the formation energy from raw total energies, the calculation gives -0.384 eV/atom.

# 5
Material: CaTb4TmSe8
Method: DFT, PBE
State: optimized geometry

The structure belongs to space group R3m (No. 160, hexagonal axes); the cell edges are 8.4741, 8.4741 and 20.6742 Å and the angles 90.00°, 90.00° and 120.00°. The inequivalent atoms are Ca at (0.0000, 0.0000, 0.0000), Tb at (0.0000, 0.0000, 0.2491), Tb at (0.1694, 0.3388, 0.4573), Tm at (0.0000, 0.0000, 0.6269), Se at (0.0000, 0.0000, 0.3821), Se at (0.0000, 0.0000, 0.8652), Se at (0.0283, 0.5141, 0.3764) and Se at (0.1788, 0.3577, 0.2068).

For the formation energy from raw total energies, the calculation gives -1.798 eV/atom.

# 6
Material: Cs3InBi2
Method: DFT, PBE
State: optimized geometry

The structure belongs to space group C2/m (No. 12); the cell edges are 21.077, 5.232 and 13.698 Å and the angles 90.00°, 113.74° and 90.00°. The inequivalent atoms are Cs at (0.053, 0.000, 0.240), Cs at (0.163, 0.500, 0.007), Cs at (0.217, 0.000, 0.606), In at (0.069, 0.500, 0.654), Bi at (0.089, 0.500, 0.447) and Bi at (0.130, 0.000, 0.793).

The value obtained for the formation enthalpy at 0 K is -253.4 meV/atom. As for the energy above the most stable polymorph in this dataset: 0.1233 eV per atom.

# 7
Material: Co2AsSe
Method: DFT, PBE
State: optimized geometry

The structure belongs to space group F-43m (No. 216); the cell edges are 6.174, 6.174 and 6.174 Å and the angles 90.00°, 90.00° and 90.00°. The inequivalent atoms are Co at (0.000, 0.000, 0.000), Co at (0.250, 0.250, 0.250), As at (0.250, 0.250, 0.750) and Se at (0.000, 0.000, 0.500).

For the formation energy from raw total energies, the calculation gives 0.641 eV/atom.

# 8
Material: CaMoW2
Method: DFT, PBE
State: optimized geometry

The structure belongs to space group C2/m (No. 12); the cell edges are 5.687, 9.651 and 2.728 Å and the angles 90.00°, 108.49° and 90.00°. The inequivalent atoms are Ca at (0.000, 0.000, 0.000), Mo at (0.000, 0.500, 0.000) and W at (0.250, 0.250, 0.500).

The value obtained for the formation enthalpy at 0 K is 738.4 meV/atom. As for the energy above the most stable polymorph in this dataset: 0.2180 eV per atom.

# 9
Material: Al2Pd3Au
Method: DFT, PBE
State: optimized geometry

The structure belongs to space group Ibam (No. 72); the cell edges are 5.354, 13.365 and 5.359 Å and the angles 90.00°, 90.00° and 90.00°. The inequivalent atoms are Al at (0.224, 0.135, 0.000), Pd at (0.000, 0.000, 0.250), Pd at (0.232, 0.318, 0.000) and Au at (0.000, 0.500, 0.250).

The value obtained for the formation enthalpy at 0 K is -623.3 meV/atom.

# 10
Material: LaCrRe2
Method: DFT, PBE
State: optimized geometry

The structure belongs to space group C2/m (No. 12); the cell edges are 9.190, 3.025 and 5.657 Å and the angles 90.00°, 105.02° and 90.00°. The inequivalent atoms are La at (0.000, 0.000, 0.000), Cr at (0.000, 0.500, 0.500) and Re at (0.215, 0.000, 0.662).

The value obtained for the formation enthalpy at 0 K is 547.0 meV/atom. As for the energy above the most stable polymorph in this dataset: 0.2034 eV per atom.

# 11
Material: LaNd4Sc3
Method: DFT, PBE
State: optimized geometry

The structure belongs to space group C2/m (No. 12); the cell edges are 27.314, 3.472 and 5.778 Å and the angles 90.00°, 94.02° and 90.00°. The inequivalent atoms are La at (0.000, 0.000, 0.000), Nd at (0.102, 0.000, 0.533), Nd at (0.189, 0.000, 0.063), Sc at (0.000, 0.500, 0.500) and Sc at (0.206, 0.500, 0.573).

The value obtained for the formation enthalpy at 0 K is 267.4 meV/atom.

# 12
Material: MgPd3Au12
Method: DFT, PBE
State: optimized geometry

The structure belongs to space group P4/mmm (No. 123); the cell edges are 4.158, 4.158 and 16.126 Å and the angles 90.00°, 90.00° and 90.00°. The inequivalent atoms are Mg at (0.000, 0.000, 0.000), Pd at (0.000, 0.000, 0.251), Pd at (0.000, 0.000, 0.500), Au at (0.000, 0.500, 0.126), Au at (0.000, 0.500, 0.375), Au at (0.500, 0.500, 0.000), Au at (0.500, 0.500, 0.251) and Au at (0.500, 0.500, 0.500).

The value obtained for the formation enthalpy at 0 K is -146.8 meV/atom.

| no. | E (eV per cell) |
| --- | --- |
| 1 | -35.50 |
| 2 | -74.55 |
| 3 | -104.88 |
| 4 | -74.29 |
| 5 | -234.14 |
| 6 | -58.33 |
| 7 | -79.12 |
| 8 | -71.57 |
| 9 | -120.32 |
| 10 | -74.52 |
| 11 | -81.71 |
| 12 | -58.85 |